Record 1
This record from Alexandria describes crystalline Sm3Ho4Al4 at its relaxed geometry. The functional is GGA-PBE.

```
11
Lattice="-2.572 3.446 8.472 2.572 -3.446 8.472 2.572 3.446 -8.472" Properties=species:S:1:pos:R:3 pbc="T T T"
Sm 0.000 0.000 0.000
Sm 2.572 0.000 6.724
Sm 0.000 3.446 1.748
Ho 2.572 1.599 -3.036
Ho 2.572 1.599 3.036
Ho 0.000 1.847 5.436
Ho 0.000 1.847 11.508
Al 0.000 0.000 3.018
Al 2.572 2.083 0.000
Al 0.000 1.363 8.472
Al 0.000 0.000 13.926
```

The value obtained for the spin magnetization is 0.0 μB/cell. The value obtained for the density of states at the Fermi level is 1.0187 states/eV/atom. The total energy comes out at -4.5039 eV per atom. The calculation puts the volume at 300 Å³/f.u.

***

Record 2
This record from Alexandria describes crystalline SmHo4Al3 at its relaxed geometry. The functional is GGA-PBE.

```
8
Lattice="-1.679 4.257 7.427 1.679 -4.257 7.427 1.679 4.257 -7.427" Properties=species:S:1:pos:R:3 pbc="T T T"
Sm 0.000 0.000 0.000
Ho 1.679 -1.669 5.331
Ho 0.000 2.588 2.097
Ho 1.679 1.669 5.331
Ho 0.000 5.926 2.097
Al 1.679 0.000 2.737
Al 0.000 0.000 7.427
Al 0.000 4.257 4.691
```

The value obtained for the spin magnetization is 0.0 μB/cell. The value obtained for the density of states at the Fermi level is 0.9648 states/eV/atom. The total energy comes out at -4.4141 eV per atom. The calculation puts the volume at 212 Å³/f.u.

***

Record 3
This record from Alexandria describes crystalline SmHo5Al4 at its relaxed geometry. The functional is GGA-PBE.

```
10
Lattice="3.567 0.000 0.000 0.000 3.567 0.000 0.000 0.000 19.650" Properties=species:S:1:pos:R:3 pbc="T T T"
Sm 0.000 0.000 0.000
Ho 1.783 1.783 2.579
Ho 1.783 1.783 6.214
Ho 1.783 1.783 9.825
Ho 1.783 1.783 13.436
Ho 1.783 1.783 17.070
Al 0.000 0.000 4.391
Al 0.000 0.000 8.015
Al 0.000 0.000 11.634
Al 0.000 0.000 15.259
```

The value obtained for the spin magnetization is 0.0 μB/cell. The value obtained for the density of states at the Fermi level is 0.7670 states/eV/atom. The total energy comes out at -4.5702 eV per atom. The calculation puts the volume at 250 Å³/f.u.

***

Record 4
This record from Alexandria describes crystalline SmHo12Al3 at its relaxed geometry. The functional is GGA-PBE.

```
16
Lattice="4.776 0.000 0.000 0.000 4.776 0.000 0.000 0.000 19.493" Properties=species:S:1:pos:R:3 pbc="T T T"
Sm 0.000 0.000 0.000
Ho 0.000 2.388 2.646
Ho 0.000 2.388 7.383
Ho 0.000 2.388 12.110
Ho 0.000 2.388 16.847
Ho 2.388 0.000 2.646
Ho 2.388 0.000 7.383
Ho 2.388 0.000 12.110
Ho 2.388 0.000 16.847
Ho 2.388 2.388 0.000
Ho 2.388 2.388 5.036
Ho 2.388 2.388 9.747
Ho 2.388 2.388 14.457
Al 0.000 0.000 5.042
Al 0.000 0.000 9.747
Al 0.000 0.000 14.451
```

The value obtained for the spin magnetization is 0.0 μB/cell. The value obtained for the density of states at the Fermi level is 1.0117 states/eV/atom. The total energy comes out at -4.5561 eV per atom. The calculation puts the volume at 445 Å³/f.u.

***

Record 5
This record from Alexandria describes crystalline SmHo4Al at its relaxed geometry. The functional is GGA-PBE.

```
12
Lattice="4.370 -6.902 0.000 4.370 6.902 0.000 -2.005 0.000 5.864" Properties=species:S:1:pos:R:3 pbc="T T T"
Sm 2.867 5.590 4.398
Sm 3.869 -5.590 1.466
Ho 0.183 1.584 5.124
Ho 2.583 2.531 2.662
Ho 1.185 -1.584 2.192
Ho 5.155 2.531 0.270
Ho 1.581 -2.531 5.594
Ho 5.550 1.584 3.672
Ho 4.152 -2.531 3.202
Ho 6.553 -1.584 0.740
Al 3.869 0.009 1.466
Al 2.867 -0.009 4.398
```

The value obtained for the distance to the lowest polymorph of the same formula is 81 meV/atom. The value obtained for the spin magnetization is 0.0 μB/cell. The value obtained for the density of states at the Fermi level is 1.2609 states/eV/atom. The total energy comes out at -4.5009 eV per atom. The calculation puts the volume at 177 Å³/f.u.

***

Record 6
This record from Alexandria describes crystalline SmHoAl2 at its relaxed geometry. The functional is GGA-PBE.

```
4
Lattice="0.000 3.635 3.635 3.635 0.000 3.635 3.635 3.635 0.000" Properties=species:S:1:pos:R:3 pbc="T T T"
Sm 0.000 0.000 0.000
Ho 3.635 3.635 3.635
Al 1.817 1.817 1.817
Al 5.452 5.452 5.452
```

The value obtained for the distance to the lowest polymorph of the same formula is 8 meV/atom. The value obtained for the spin magnetization is 0.0 μB/cell. The value obtained for the density of states at the Fermi level is 0.4435 states/eV/atom. The total energy comes out at -4.5756 eV per atom. The calculation puts the volume at 96 Å³/f.u.

***

Record 7
This record from Alexandria describes crystalline Sm6HoAl at its relaxed geometry. The functional is GGA-PBE.

```
8
Lattice="4.929 0.000 0.000 0.000 4.929 0.000 0.000 0.000 10.117" Properties=species:S:1:pos:R:3 pbc="T T T"
Sm 0.000 0.000 0.000
Sm 0.000 0.000 5.059
Sm 0.000 2.464 2.417
Sm 0.000 2.464 7.701
Sm 2.464 0.000 2.417
Sm 2.464 0.000 7.701
Ho 2.464 2.464 5.059
Al 2.464 2.464 0.000
```

The value obtained for the spin magnetization is 0.0 μB/cell. The value obtained for the density of states at the Fermi level is 1.0951 states/eV/atom. The total energy comes out at -4.6427 eV per atom. The calculation puts the volume at 246 Å³/f.u.

***

Record 8
This record from Alexandria describes crystalline TbSmHoAl at its relaxed geometry. The functional is GGA-PBE.

```
4
Lattice="3.524 0.000 0.000 0.000 3.524 0.000 0.000 0.000 9.078" Properties=species:S:1:pos:R:3 pbc="T T T"
Tb 0.000 0.000 0.000
Sm 1.762 1.762 2.642
Ho 0.000 0.000 5.242
Al 1.762 1.762 7.142
```

The value obtained for the distance to the lowest polymorph of the same formula is 0 meV/atom. The value obtained for the spin magnetization is 0.0 μB/cell. The value obtained for the density of states at the Fermi level is 0.8259 states/eV/atom. The total energy comes out at -4.6077 eV per atom. The calculation puts the volume at 113 Å³/f.u.

***

Record 9
This record from Alexandria describes crystalline TbSmHoAl at its relaxed geometry. The functional is GGA-PBE.

```
4
Lattice="0.000 3.803 3.803 3.803 0.000 3.803 3.803 3.803 0.000" Properties=species:S:1:pos:R:3 pbc="T T T"
Tb 0.000 0.000 0.000
Sm 3.803 3.803 3.803
Ho 5.705 5.705 5.705
Al 1.902 1.902 1.902
```

The value obtained for the distance to the lowest polymorph of the same formula is 133 meV/atom. The value obtained for the spin magnetization is 0.0 μB/cell. The value obtained for the density of states at the Fermi level is 1.7190 states/eV/atom. The total energy comes out at -4.4748 eV per atom. The calculation puts the volume at 110 Å³/f.u.

***

Record 10
This record from Alexandria describes crystalline SmHoAlTc at its relaxed geometry. The functional is GGA-PBE.

```
4
Lattice="0.000 3.546 3.546 3.546 0.000 3.546 3.546 3.546 0.000" Properties=species:S:1:pos:R:3 pbc="T T T"
Sm 0.000 0.000 0.000
Ho 3.546 3.546 3.546
Al 1.773 1.773 1.773
Tc 5.319 5.319 5.319
```

The value obtained for the spin magnetization is 0.0 μB/cell. The value obtained for the density of states at the Fermi level is 1.0019 states/eV/atom. The total energy comes out at -5.9518 eV per atom. The calculation puts the volume at 89 Å³/f.u.

***

Record 11
This record from Alexandria describes crystalline SmHoAlZn at its relaxed geometry. The functional is GGA-PBE.

```
4
Lattice="0.000 3.625 3.625 3.625 0.000 3.625 3.625 3.625 0.000" Properties=species:S:1:pos:R:3 pbc="T T T"
Sm 0.000 0.000 0.000
Ho 3.625 3.625 3.625
Al 5.437 5.437 5.437
Zn 1.812 1.812 1.812
```

The value obtained for the distance to the lowest polymorph of the same formula is 8 meV/atom. The value obtained for the spin magnetization is 0.0 μB/cell. The value obtained for the density of states at the Fermi level is 0.7682 states/eV/atom. The total energy comes out at -3.9378 eV per atom. The calculation puts the volume at 95 Å³/f.u.

***

Record 12
This record from Alexandria describes crystalline SmHoAl2Zn2 at its relaxed geometry. The functional is GGA-PBE.

```
6
Lattice="4.498 0.000 0.000 -2.249 3.896 0.000 0.000 0.000 7.275" Properties=species:S:1:pos:R:3 pbc="T T T"
Sm 0.000 0.000 0.000
Ho 0.000 0.000 3.637
Al 0.000 2.597 5.349
Al 2.249 1.299 1.926
Zn 0.000 2.597 1.968
Zn 2.249 1.299 5.307
```

The value obtained for the spin magnetization is 0.0 μB/cell. The value obtained for the density of states at the Fermi level is 0.5601 states/eV/atom. The total energy comes out at -3.6728 eV per atom. The calculation puts the volume at 127 Å³/f.u.

***

Question: Among the records above, which one has the lowest volume?
Answer: SmHoAlTc

***

Question: What is the spin magnetization in the tenth record?
Answer: 0.0 μB/cell

***

Question: Which formula does entry 8 have?
Answer: TbSmHoAl

***

Question: What is the formula in the twelfth record?
Answer: SmHoAl2Zn2